Model one:
# Pr5Hg2Pt

Pr5Hg2Pt after structural relaxation (GGA-PBE, Alexandria via LeMat-Bulk).

```
data_Pr5Hg2Pt
_cell_length_a 5.802
_cell_length_b 10.270
_cell_length_c 16.547
_cell_angle_alpha 90.00
_cell_angle_beta 90.00
_cell_angle_gamma 90.00
_space_group_name_H-M_alt 'C m c m'
_space_group_IT_number 63
_space_group_name_Hall '-C 2c 2'
loop_
_atom_site_label
_atom_site_type_symbol
_atom_site_fract_x
_atom_site_fract_y
_atom_site_fract_z
Pr1 Pr 0.000 0.078 0.091
Pr2 Pr 0.000 0.251 0.750
Pr3 Pr 0.000 0.408 0.124
Hg1 Hg 0.000 0.267 0.560
Pt1 Pt 0.000 0.200 0.250
```

Model two:
# Pr5Hg2Pt

Pr5Hg2Pt after structural relaxation (GGA-PBE, Alexandria via LeMat-Bulk).

```
data_Pr5Hg2Pt
_cell_length_a 7.452
_cell_length_b 12.809
_cell_length_c 5.049
_cell_angle_alpha 90.00
_cell_angle_beta 90.00
_cell_angle_gamma 90.00
_space_group_name_H-M_alt 'P b a m'
_space_group_IT_number 55
_space_group_name_Hall '-P 2 2ab'
loop_
_atom_site_label
_atom_site_type_symbol
_atom_site_fract_x
_atom_site_fract_y
_atom_site_fract_z
Pr1 Pr 0.000 0.000 0.000
Pr2 Pr 0.136 0.289 0.000
Pr3 Pr 0.180 0.581 0.500
Hg1 Hg 0.091 0.836 0.500
Pt1 Pt 0.000 0.500 0.000
```

Which structure is most stable? model two, by 153 meV/atom over the runner-up.

Model one:
# Pr8Hg2Pt

Pr8Hg2Pt after structural relaxation (GGA-PBE, Alexandria via LeMat-Bulk).

```
data_Pr8Hg2Pt
_cell_length_a 8.390
_cell_length_b 16.719
_cell_length_c 6.405
_cell_angle_alpha 90.00
_cell_angle_beta 128.58
_cell_angle_gamma 90.00
_space_group_name_H-M_alt 'C 1 m 1'
_space_group_IT_number 8
_space_group_name_Hall 'C -2y'
loop_
_atom_site_label
_atom_site_type_symbol
_atom_site_fract_x
_atom_site_fract_y
_atom_site_fract_z
Pr1 Pr 0.000 0.000 0.000
Pr2 Pr 0.024 0.500 0.272
Pr3 Pr 0.188 0.192 0.015
Pr4 Pr 0.395 0.374 0.332
Pr5 Pr 0.425 0.110 0.675
Hg1 Hg 0.186 0.288 0.546
Pt1 Pt 0.158 0.000 0.703
```

Model two:
# Pr8Hg2Pt

Pr8Hg2Pt after structural relaxation (GGA-PBE, Alexandria via LeMat-Bulk).

```
data_Pr8Hg2Pt
_cell_length_a 18.822
_cell_length_b 5.287
_cell_length_c 7.098
_cell_angle_alpha 90.00
_cell_angle_beta 101.08
_cell_angle_gamma 90.00
_space_group_name_H-M_alt 'C 1 2/m 1'
_space_group_IT_number 12
_space_group_name_Hall '-C 2y'
loop_
_atom_site_label
_atom_site_type_symbol
_atom_site_fract_x
_atom_site_fract_y
_atom_site_fract_z
Pr1 Pr 0.021 0.000 0.275
Pr2 Pr 0.089 0.500 0.947
Pr3 Pr 0.154 0.500 0.472
Pr4 Pr 0.204 0.000 0.819
Hg1 Hg 0.189 0.000 0.246
Pt1 Pt 0.000 0.500 0.500
```

Which structure is most stable? model two, by 36 meV/atom over the runner-up.

Model one:
# Pr5HgPt2

Pr5HgPt2 after structural relaxation (GGA-PBE, Alexandria via LeMat-Bulk).

```
data_Pr5HgPt2
_cell_length_a 5.759
_cell_length_b 12.627
_cell_length_c 14.213
_cell_angle_alpha 90.00
_cell_angle_beta 90.00
_cell_angle_gamma 90.00
_space_group_name_H-M_alt 'C m c m'
_space_group_IT_number 63
_space_group_name_Hall '-C 2c 2'
loop_
_atom_site_label
_atom_site_type_symbol
_atom_site_fract_x
_atom_site_fract_y
_atom_site_fract_z
Pr1 Pr 0.000 0.056 0.126
Pr2 Pr 0.000 0.237 0.750
Pr3 Pr 0.000 0.357 0.064
Hg1 Hg 0.000 0.489 0.750
Pt1 Pt 0.000 0.163 0.555
```

Model two:
# Pr5HgPt2

Pr5HgPt2 after structural relaxation (GGA-PBE, Alexandria via LeMat-Bulk).

```
data_Pr5HgPt2
_cell_length_a 8.187
_cell_length_b 8.187
_cell_length_c 13.707
_cell_angle_alpha 90.00
_cell_angle_beta 90.00
_cell_angle_gamma 90.00
_space_group_name_H-M_alt 'I 4/m c m'
_space_group_IT_number 140
_space_group_name_Hall '-I 4 2c'
loop_
_atom_site_label
_atom_site_type_symbol
_atom_site_fract_x
_atom_site_fract_y
_atom_site_fract_z
Pr1 Pr 0.000 0.000 0.000
Pr2 Pr 0.161 0.339 0.139
Hg1 Hg 0.000 0.000 0.250
Pt1 Pt 0.132 0.368 0.500
```

Which structure is most stable? model two, by 117 meV/atom over the runner-up.

Model one:
# Pr2PuHg

Pr2PuHg after structural relaxation (GGA-PBE, Alexandria via LeMat-Bulk).

```
data_Pr2PuHg
_cell_length_a 7.820
_cell_length_b 7.820
_cell_length_c 7.820
_cell_angle_alpha 90.00
_cell_angle_beta 90.00
_cell_angle_gamma 90.00
_space_group_name_H-M_alt 'F m -3 m'
_space_group_IT_number 225
_space_group_name_Hall '-F 4 2 3'
loop_
_atom_site_label
_atom_site_type_symbol
_atom_site_fract_x
_atom_site_fract_y
_atom_site_fract_z
Pr1 Pr 0.250 0.250 0.250
Pu1 Pu 0.000 0.000 0.000
Hg1 Hg 0.000 0.000 0.500
```

Model two:
# Pr2PuHg

Pr2PuHg after structural relaxation (GGA-PBE, Alexandria via LeMat-Bulk).

```
data_Pr2PuHg
_cell_length_a 3.6906
_cell_length_b 3.6906
_cell_length_c 32.0087
_cell_angle_alpha 90.00
_cell_angle_beta 90.00
_cell_angle_gamma 120.00
_space_group_name_H-M_alt 'R 3 m'
_space_group_IT_number 160
_space_group_name_Hall 'R 3 -2"'
loop_
_atom_site_label
_atom_site_type_symbol
_atom_site_fract_x
_atom_site_fract_y
_atom_site_fract_z
Pr1 Pr 0.0000 0.0000 0.0000
Pr2 Pr 0.0000 0.0000 0.1749
Pu1 Pu 0.0000 0.0000 0.4199
Hg1 Hg 0.0000 0.0000 0.5877
```

Which structure is most stable? model two, by 56 meV/atom over the runner-up.

Model one:
# Pr2PuHg

Pr2PuHg after structural relaxation (GGA-PBE, Alexandria via LeMat-Bulk).

```
data_Pr2PuHg
_cell_length_a 3.681
_cell_length_b 3.681
_cell_length_c 8.958
_cell_angle_alpha 90.00
_cell_angle_beta 90.00
_cell_angle_gamma 90.00
_space_group_name_H-M_alt 'P 4/m m m'
_space_group_IT_number 123
_space_group_name_Hall '-P 4 2'
loop_
_atom_site_label
_atom_site_type_symbol
_atom_site_fract_x
_atom_site_fract_y
_atom_site_fract_z
Pr1 Pr 0.000 0.000 0.232
Pu1 Pu 0.500 0.500 0.500
Hg1 Hg 0.500 0.500 0.000
```

Model two:
# Pr2PuHg

Pr2PuHg after structural relaxation (GGA-PBE, Alexandria via LeMat-Bulk).

```
data_Pr2PuHg
_cell_length_a 3.5089
_cell_length_b 3.5089
_cell_length_c 35.7567
_cell_angle_alpha 90.00
_cell_angle_beta 90.00
_cell_angle_gamma 120.00
_space_group_name_H-M_alt 'R -3 m'
_space_group_IT_number 166
_space_group_name_Hall '-R 3 2"'
loop_
_atom_site_label
_atom_site_type_symbol
_atom_site_fract_x
_atom_site_fract_y
_atom_site_fract_z
Pr1 Pr 0.0000 0.0000 0.0935
Pu1 Pu 0.0000 0.0000 0.0000
Hg1 Hg 0.0000 0.0000 0.5000
```

Which structure is most stable? model one, by 275 meV/atom over the runner-up.

Model one:
# PrPuHg2

PrPuHg2 after structural relaxation (GGA-PBE, Alexandria via LeMat-Bulk).

```
data_PrPuHg2
_cell_length_a 5.385
_cell_length_b 5.385
_cell_length_c 3.844
_cell_angle_alpha 90.00
_cell_angle_beta 90.00
_cell_angle_gamma 90.00
_space_group_name_H-M_alt 'P 4/m m m'
_space_group_IT_number 123
_space_group_name_Hall '-P 4 2'
loop_
_atom_site_label
_atom_site_type_symbol
_atom_site_fract_x
_atom_site_fract_y
_atom_site_fract_z
Pr1 Pr 0.000 0.000 0.000
Pu1 Pu 0.500 0.500 0.000
Hg1 Hg 0.000 0.500 0.500
```

Model two:
# PrPuHg2

PrPuHg2 after structural relaxation (GGA-PBE, Alexandria via LeMat-Bulk).

```
data_PrPuHg2
_cell_length_a 7.638
_cell_length_b 7.638
_cell_length_c 7.638
_cell_angle_alpha 90.00
_cell_angle_beta 90.00
_cell_angle_gamma 90.00
_space_group_name_H-M_alt 'F m -3 m'
_space_group_IT_number 225
_space_group_name_Hall '-F 4 2 3'
loop_
_atom_site_label
_atom_site_type_symbol
_atom_site_fract_x
_atom_site_fract_y
_atom_site_fract_z
Pr1 Pr 0.000 0.000 0.000
Pu1 Pu 0.000 0.000 0.500
Hg1 Hg 0.250 0.250 0.250
```

Which structure is most stable? model one, by 19 meV/atom over the runner-up.

Model one:
# Pr8Hg2Rh

Pr8Hg2Rh after structural relaxation (GGA-PBE, Alexandria via LeMat-Bulk).

```
data_Pr8Hg2Rh
_cell_length_a 8.055
_cell_length_b 16.527
_cell_length_c 6.490
_cell_angle_alpha 90.00
_cell_angle_beta 124.74
_cell_angle_gamma 90.00
_space_group_name_H-M_alt 'C 1 m 1'
_space_group_IT_number 8
_space_group_name_Hall 'C -2y'
loop_
_atom_site_label
_atom_site_type_symbol
_atom_site_fract_x
_atom_site_fract_y
_atom_site_fract_z
Pr1 Pr 0.000 0.000 0.000
Pr2 Pr 0.041 0.387 0.844
Pr3 Pr 0.048 0.500 0.374
Pr4 Pr 0.278 0.195 0.153
Pr5 Pr 0.499 0.384 0.484
Hg1 Hg 0.271 0.284 0.663
Rh1 Rh 0.268 0.000 0.858
```

Model two:
# Pr8Hg2Rh

Pr8Hg2Rh after structural relaxation (GGA-PBE, Alexandria via LeMat-Bulk).

```
data_Pr8Hg2Rh
_cell_length_a 18.546
_cell_length_b 5.275
_cell_length_c 7.129
_cell_angle_alpha 90.00
_cell_angle_beta 99.77
_cell_angle_gamma 90.00
_space_group_name_H-M_alt 'C 1 2/m 1'
_space_group_IT_number 12
_space_group_name_Hall '-C 2y'
loop_
_atom_site_label
_atom_site_type_symbol
_atom_site_fract_x
_atom_site_fract_y
_atom_site_fract_z
Pr1 Pr 0.021 0.000 0.276
Pr2 Pr 0.089 0.500 0.946
Pr3 Pr 0.151 0.500 0.468
Pr4 Pr 0.202 0.000 0.815
Hg1 Hg 0.192 0.000 0.244
Rh1 Rh 0.000 0.500 0.500
```

Which structure is most stable? model two, by 30 meV/atom over the runner-up.

Model one:
# Pr3HgRh

Pr3HgRh after structural relaxation (GGA-PBE, Alexandria via LeMat-Bulk).

```
data_Pr3HgRh
_cell_length_a 5.523
_cell_length_b 5.523
_cell_length_c 5.523
_cell_angle_alpha 90.00
_cell_angle_beta 90.00
_cell_angle_gamma 90.00
_space_group_name_H-M_alt 'P m -3 m'
_space_group_IT_number 221
_space_group_name_Hall '-P 4 2 3'
loop_
_atom_site_label
_atom_site_type_symbol
_atom_site_fract_x
_atom_site_fract_y
_atom_site_fract_z
Pr1 Pr 0.000 0.000 0.500
Hg1 Hg 0.500 0.500 0.500
Rh1 Rh 0.000 0.000 0.000
```

Model two:
# Pr3HgRh

Pr3HgRh after structural relaxation (GGA-PBE, Alexandria via LeMat-Bulk).

```
data_Pr3HgRh
_cell_length_a 7.526
_cell_length_b 5.026
_cell_length_c 15.336
_cell_angle_alpha 90.00
_cell_angle_beta 90.00
_cell_angle_gamma 90.00
_space_group_name_H-M_alt 'P n m a'
_space_group_IT_number 62
_space_group_name_Hall '-P 2ac 2n'
loop_
_atom_site_label
_atom_site_type_symbol
_atom_site_fract_x
_atom_site_fract_y
_atom_site_fract_z
Pr1 Pr 0.009 0.250 0.103
Pr2 Pr 0.133 0.750 0.456
Pr3 Pr 0.187 0.250 0.721
Hg1 Hg 0.094 0.250 0.318
Rh1 Rh 0.223 0.750 0.045
```

Which structure is most stable? model two, by 242 meV/atom over the runner-up.

Model one:
# Pr6HgRh3

Pr6HgRh3 after structural relaxation (GGA-PBE, Alexandria via LeMat-Bulk).

```
data_Pr6HgRh3
_cell_length_a 12.211
_cell_length_b 4.216
_cell_length_c 12.241
_cell_angle_alpha 90.00
_cell_angle_beta 108.73
_cell_angle_gamma 90.00
_space_group_name_H-M_alt 'P 1 21/m 1'
_space_group_IT_number 11
_space_group_name_Hall '-P 2yb'
loop_
_atom_site_label
_atom_site_type_symbol
_atom_site_fract_x
_atom_site_fract_y
_atom_site_fract_z
Pr1 Pr 0.031 0.250 0.392
Pr2 Pr 0.111 0.250 0.949
Pr3 Pr 0.211 0.750 0.262
Pr4 Pr 0.284 0.750 0.765
Pr5 Pr 0.358 0.250 0.537
Pr6 Pr 0.432 0.750 0.096
Hg1 Hg 0.446 0.250 0.305
Rh1 Rh 0.047 0.250 0.164
Rh2 Rh 0.186 0.750 0.503
Rh3 Rh 0.343 0.250 0.927
```

Model two:
# Pr6HgRh3

Pr6HgRh3 after structural relaxation (GGA-PBE, Alexandria via LeMat-Bulk).

```
data_Pr6HgRh3
_cell_length_a 11.081
_cell_length_b 14.367
_cell_length_c 7.534
_cell_angle_alpha 90.00
_cell_angle_beta 90.00
_cell_angle_gamma 90.00
_space_group_name_H-M_alt 'C m c 21'
_space_group_IT_number 36
_space_group_name_Hall 'C 2c -2'
loop_
_atom_site_label
_atom_site_type_symbol
_atom_site_fract_x
_atom_site_fract_y
_atom_site_fract_z
Pr1 Pr 0.000 0.015 0.000
Pr2 Pr 0.000 0.224 0.316
Pr3 Pr 0.168 0.468 0.382
Pr4 Pr 0.189 0.283 0.961
Hg1 Hg 0.000 0.179 0.717
Rh1 Rh 0.000 0.401 0.109
Rh2 Rh 0.191 0.109 0.189
```

Which structure is most stable? model one, by 84 meV/atom over the runner-up.

Model one:
# Pr2HgRh

Pr2HgRh after structural relaxation (GGA-PBE, Alexandria via LeMat-Bulk).

```
data_Pr2HgRh
_cell_length_a 4.0981
_cell_length_b 4.0981
_cell_length_c 24.0243
_cell_angle_alpha 90.00
_cell_angle_beta 90.00
_cell_angle_gamma 120.00
_space_group_name_H-M_alt 'R -3 m'
_space_group_IT_number 166
_space_group_name_Hall '-R 3 2"'
loop_
_atom_site_label
_atom_site_type_symbol
_atom_site_fract_x
_atom_site_fract_y
_atom_site_fract_z
Pr1 Pr 0.0000 0.0000 0.2347
Hg1 Hg 0.0000 0.0000 0.0000
Rh1 Rh 0.0000 0.0000 0.5000
```

Model two:
# Pr2HgRh

Pr2HgRh after structural relaxation (GGA-PBE, Alexandria via LeMat-Bulk).

```
data_Pr2HgRh
_cell_length_a 3.958
_cell_length_b 14.751
_cell_length_c 7.518
_cell_angle_alpha 90.00
_cell_angle_beta 90.00
_cell_angle_gamma 90.00
_space_group_name_H-M_alt 'C m c m'
_space_group_IT_number 63
_space_group_name_Hall '-C 2c 2'
loop_
_atom_site_label
_atom_site_type_symbol
_atom_site_fract_x
_atom_site_fract_y
_atom_site_fract_z
Pr1 Pr 0.000 0.138 0.001
Hg1 Hg 0.000 0.496 0.750
Rh1 Rh 0.000 0.293 0.750
```

Model three:
# Pr2HgRh

Pr2HgRh after structural relaxation (GGA-PBE, Alexandria via LeMat-Bulk).

```
data_Pr2HgRh
_cell_length_a 4.1909
_cell_length_b 4.1909
_cell_length_c 23.1765
_cell_angle_alpha 90.00
_cell_angle_beta 90.00
_cell_angle_gamma 120.00
_space_group_name_H-M_alt 'R 3 m'
_space_group_IT_number 160
_space_group_name_Hall 'R 3 -2"'
loop_
_atom_site_label
_atom_site_type_symbol
_atom_site_fract_x
_atom_site_fract_y
_atom_site_fract_z
Pr1 Pr 0.0000 0.0000 0.0000
Pr2 Pr 0.0000 0.0000 0.1987
Hg1 Hg 0.0000 0.0000 0.4328
Rh1 Rh 0.0000 0.0000 0.5978
```

Which structure is most stable? model two, by 28 meV/atom over the runner-up.